--- i ---
DFT (PBE) results for crystalline Nd8Sm6Y at its relaxed geometry.

Values from the calculation:
N(E_F) = 22.50 states/eV per cell
SG = R-3, No. 148

The structure in POSCAR format:
```
Nd8Sm6Y
1.0
9.279 0.000 0.000
4.639 8.036 0.000
4.639 2.679 7.029
Y Nd Sm
1 8 6
Cartesian
0.000 0.000 0.000
12.233 6.892 2.953
6.473 7.148 2.953
9.427 8.682 4.076
9.279 5.357 5.154
6.325 3.822 4.076
12.085 3.567 4.076
9.131 2.032 2.953
9.279 5.357 1.874
5.307 4.655 0.850
2.594 2.268 0.850
13.251 6.059 6.179
6.017 1.112 0.850
15.964 8.446 6.179
12.540 9.602 6.179
```

--- ii ---
DFT (PBE) results for crystalline Nd8Sm6Y at its relaxed geometry.

Values from the calculation:
N(E_F) = 21.79 states/eV per cell
SG = P-3, No. 147

The structure in POSCAR format:
```
Nd8Sm6Y
1.0
6.701 0.000 0.000
0.000 8.256 -4.767
0.000 0.000 9.534
Sm Y Nd
6 1 8
Cartesian
2.308 0.715 3.694
2.308 4.700 3.539
4.393 3.556 1.228
4.393 7.542 1.073
2.308 2.842 7.068
4.393 5.415 -2.301
3.350 0.000 0.000
1.082 6.145 -3.270
5.619 5.904 3.687
5.951 2.752 4.767
1.082 8.015 2.190
5.619 2.111 8.037
1.082 2.352 1.080
0.750 5.504 0.000
5.619 0.241 2.577
```

Which of them is most stable? Easy: i.